Sr2TlSbSe after structural relaxation, computed with PBE-GGA.

Summary:
Symmetry   P4/mmm
Formation energy from raw total energies   -0.26 eV/atom
Volume   219 Å³/cell
N(E_F)   0.6926 states/eV per atom

Cell and atoms, written as CIF:
```
data_Sr2TlSbSe
_chemical_formula_sum 'Sr2 Tl1 Sb1 Se1'
_cell_length_a 6.244
_cell_length_b 5.607
_cell_length_c 6.244
_cell_angle_alpha 90.00
_cell_angle_beta 90.00
_cell_angle_gamma 90.00
_symmetry_space_group_name_H-M 'P 1'
_symmetry_Int_Tables_number 1
loop_
_symmetry_equiv_pos_as_xyz
'x,y,z'
loop_
_atom_site_label
_atom_site_type_symbol
_atom_site_fract_x
_atom_site_fract_y
_atom_site_fract_z
_atom_site_occupancy
Sr1 Sr 0.000 0.000 0.500 1
Sr2 Sr 0.500 0.000 0.000 1
Se1 Se 0.000 0.500 0.000 1
Tl1 Tl 0.500 0.500 0.500 1
Sb1 Sb 0.000 0.000 0.000 1
```